1.
Ba2BiMoO6 after structural relaxation, computed with GGA+U.

The structure in CIF format:
```
data_Ba2BiMoO6
_space_group_name_H-M_alt 'P 4 m m'
_space_group_IT_number 99
_cell_length_a 6.0338
_cell_length_b 6.0338
_cell_length_c 4.7085
_cell_angle_alpha 90.00
_cell_angle_beta 90.00
_cell_angle_gamma 90.00
loop_
_space_group_symop_operation_xyz
'x,y,z'
'-y,x,z'
'-x,-y,z'
'y,-x,z'
'-x,y,z'
'y,x,z'
'x,-y,z'
'-y,-x,z'
loop_
_atom_site_label
_atom_site_type_symbol
_atom_site_fract_x
_atom_site_fract_y
_atom_site_fract_z
Ba1 Ba 0.0000 0.5000 0.0000
Bi1 Bi 0.0000 0.0000 0.5561
Mo1 Mo 0.5000 0.5000 0.5177
O1 O 0.0000 0.0000 0.0797
O2 O 0.2741 0.2741 0.6260
O3 O 0.5000 0.5000 0.1336
```

Summary:
raw total energy = -65.1 eV per cell

=====

2.
BaBi2MoO8 after structural relaxation, computed with GGA+U.

The structure in CIF format:
```
data_BaBi2MoO8
_space_group_name_H-M_alt 'P 1 2/m 1'
_space_group_IT_number 10
_cell_length_a 5.1627
_cell_length_b 7.2436
_cell_length_c 5.1708
_cell_angle_alpha 90.00
_cell_angle_beta 91.98
_cell_angle_gamma 90.00
loop_
_space_group_symop_operation_xyz
'x,y,z'
'-x,-y,-z'
'-x,y,-z'
'x,-y,z'
loop_
_atom_site_label
_atom_site_type_symbol
_atom_site_fract_x
_atom_site_fract_y
_atom_site_fract_z
Ba1 Ba 0.0000 0.0000 0.0000
Bi1 Bi 0.5000 0.2612 0.5000
Mo1 Mo 0.0000 0.5000 0.0000
O1 O 0.1874 0.3104 0.1855
O2 O 0.2769 0.5000 0.7215
O3 O 0.3352 0.0000 0.6614
```

Summary:
raw total energy = -73.4 eV per cell

=====

3.
BaBiMo2O8 after structural relaxation, computed with GGA+U.

The structure in CIF format:
```
data_BaBiMo2O8
_space_group_name_H-M_alt 'P -3 m 1'
_space_group_IT_number 164
_space_group_name_Hall '-P 3 2"'
_cell_length_a 6.0100
_cell_length_b 6.0100
_cell_length_c 7.8027
_cell_angle_alpha 90.00
_cell_angle_beta 90.00
_cell_angle_gamma 120.00
loop_
_atom_site_label
_atom_site_type_symbol
_atom_site_fract_x
_atom_site_fract_y
_atom_site_fract_z
Ba1 Ba 0.0000 0.0000 0.0000
Bi1 Bi 0.0000 0.0000 0.5000
Mo1 Mo 0.3333 0.6667 0.7818
O1 O 0.1651 0.3302 0.7107
O2 O 0.3333 0.6667 0.0091
```

Summary:
raw total energy = -80.6 eV per cell

=====

4.
BaBi2Mo4O16 after structural relaxation, computed with GGA+U.

The structure in CIF format:
```
data_BaBi2Mo4O16
_space_group_name_H-M_alt 'C 1 2/c 1'
_space_group_IT_number 15
_cell_length_a 5.4121
_cell_length_b 13.0120
_cell_length_c 19.9799
_cell_angle_alpha 90.00
_cell_angle_beta 91.77
_cell_angle_gamma 90.00
loop_
_space_group_symop_operation_xyz
'x,y,z'
'-x,-y,-z'
'-x,y,-z+1/2'
'x,-y,z+1/2'
'x+1/2,y+1/2,z'
'-x+1/2,-y+1/2,-z'
'-x+1/2,y+1/2,-z+1/2'
'x+1/2,-y+1/2,z+1/2'
loop_
_atom_site_label
_atom_site_type_symbol
_atom_site_fract_x
_atom_site_fract_y
_atom_site_fract_z
Ba1 Ba 0.0000 0.0283 0.2500
Bi1 Bi 0.0007 0.1496 0.4632
Mo1 Mo 0.0001 0.2617 0.6494
Mo2 Mo 0.0196 0.4417 0.0898
O1 O 0.1102 0.4183 0.3331
O2 O 0.1117 0.1420 0.8241
O3 O 0.1550 0.3276 0.0473
O4 O 0.1689 0.2450 0.5696
O5 O 0.2064 0.3107 0.7108
O6 O 0.2360 0.1497 0.1351
O7 O 0.2390 0.4851 0.4647
O8 O 0.2451 0.4569 0.6041
```

Summary:
raw total energy = -626.7 eV per cell

=====

Result set for density of states at the Fermi level: 0.000, 2.486, 3.984, 0.000 states/eV/cell, one per record in the order listed.